No. 1
HoEr2MgTl4 | PBE | optimized geometry

POSCAR file:
```
HoEr2MgTl4
1.0
5.232 0.000 0.000
2.616 4.531 0.000
2.616 1.510 8.852
Tl Er Ho Mg
4 2 1 1
Direct
0.876 0.876 0.373 Tl
0.124 0.124 0.627 Tl
0.624 0.624 0.128 Tl
0.376 0.376 0.872 Tl
0.755 0.755 0.734 Er
0.245 0.245 0.266 Er
0.000 0.000 0.000 Ho
0.500 0.500 0.500 Mg
```

Values from the calculation:
Raw total energy in eV/atom: -3.363
Formation enthalpy at 0 K in eV per atom: -0.27

No. 2
HoEr2Tm2Mg5 | PBE | optimized geometry

POSCAR file:
```
HoEr2Tm2Mg5
1.0
5.033 0.000 0.000
0.000 10.492 0.000
0.000 0.000 10.492
Tm Mg Er Ho
4 10 4 2
Direct
0.000 0.618 0.882 Tm
0.000 0.382 0.118 Tm
0.000 0.882 0.382 Tm
0.000 0.118 0.618 Tm
0.500 0.803 0.925 Mg
0.500 0.197 0.075 Mg
0.500 0.000 0.500 Mg
0.500 0.425 0.303 Mg
0.500 0.303 0.575 Mg
0.500 0.575 0.697 Mg
0.500 0.075 0.803 Mg
0.500 0.500 0.000 Mg
0.500 0.697 0.425 Mg
0.500 0.925 0.197 Mg
0.000 0.322 0.822 Er
0.000 0.822 0.678 Er
0.000 0.678 0.178 Er
0.000 0.178 0.322 Er
0.000 0.500 0.500 Ho
0.000 0.000 0.000 Ho
```

Values from the calculation:
Raw total energy in eV/atom: -2.971
Formation enthalpy at 0 K in eV per atom: 0.09

No. 3
Ho2ErTm2Mg | PBE | optimized geometry

POSCAR file:
```
Ho2ErTm2Mg
1.0
3.587 0.000 0.000
0.000 11.620 0.000
0.000 0.000 10.111
Er Ho Mg Tm
2 4 2 4
Direct
0.500 0.500 0.000 Er
0.000 0.000 0.500 Er
0.000 0.278 0.096 Ho
0.500 0.778 0.404 Ho
0.500 0.222 0.596 Ho
0.000 0.722 0.904 Ho
0.000 0.000 0.000 Mg
0.500 0.500 0.500 Mg
0.500 0.926 0.749 Tm
0.000 0.426 0.751 Tm
0.000 0.574 0.249 Tm
0.500 0.074 0.251 Tm
```

Values from the calculation:
Raw total energy in eV/atom: -3.557
Formation enthalpy at 0 K in eV per atom: 0.49

No. 4
Ho2Er2TmMg2 | PBE | optimized geometry

POSCAR file:
```
Ho2Er2TmMg2
1.0
-4.108 2.418 -2.507
-4.669 -2.605 -0.646
-5.477 2.792 5.884
Ho Tm Mg Er
2 1 2 2
Direct
0.426 0.426 0.721 Ho
0.574 0.574 0.279 Ho
0.000 0.000 0.000 Tm
0.711 0.711 0.866 Mg
0.289 0.289 0.134 Mg
0.846 0.846 0.462 Er
0.154 0.154 0.538 Er
```

Values from the calculation:
Raw total energy in eV/atom: -3.718
Formation enthalpy at 0 K in eV per atom: -0.01

No. 5
HoEr2Tm4Mg | PBE | optimized geometry

POSCAR file:
```
HoEr2Tm4Mg
1.0
-1.481 -2.759 1.827
4.015 -4.790 -0.380
2.069 3.509 10.572
Er Tm Ho Mg
2 4 1 1
Direct
0.249 0.275 0.227 Er
0.751 0.725 0.773 Er
0.131 0.106 0.633 Tm
0.609 0.672 0.110 Tm
0.391 0.328 0.890 Tm
0.869 0.894 0.367 Tm
0.500 0.500 0.500 Ho
0.000 0.000 0.000 Mg
```

Values from the calculation:
Raw total energy in eV/atom: -4.125
Formation enthalpy at 0 K in eV per atom: 0.02

No. 6
Ho2ErTm2Mg5 | PBE | optimized geometry

POSCAR file:
```
Ho2ErTm2Mg5
1.0
-1.464 -2.657 -4.010
-6.685 -5.398 6.018
-7.485 7.084 -1.960
Tm Er Mg Ho
4 2 10 4
Direct
0.000 0.382 0.118 Tm
0.000 0.882 0.382 Tm
0.000 0.118 0.618 Tm
0.000 0.618 0.882 Tm
0.000 0.000 0.000 Er
0.000 0.500 0.500 Er
0.500 0.426 0.303 Mg
0.500 0.803 0.926 Mg
0.500 0.074 0.803 Mg
0.500 0.000 0.500 Mg
0.500 0.574 0.697 Mg
0.500 0.303 0.574 Mg
0.500 0.197 0.074 Mg
0.500 0.697 0.426 Mg
0.500 0.926 0.197 Mg
0.500 0.500 0.000 Mg
0.000 0.678 0.178 Ho
0.000 0.178 0.322 Ho
0.000 0.822 0.678 Ho
0.000 0.322 0.822 Ho
```

Values from the calculation:
Raw total energy in eV/atom: -2.978
Formation enthalpy at 0 K in eV per atom: 0.09

No. 7
Ho2Er4TmMg | PBE | optimized geometry

POSCAR file:
```
Ho2Er4TmMg
1.0
-4.269 0.820 -2.280
-1.249 -4.714 0.644
-5.425 -2.433 9.285
Er Tm Ho Mg
4 1 2 1
Direct
0.000 0.250 0.249 Er
0.000 0.750 0.751 Er
0.500 0.250 0.750 Er
0.500 0.750 0.249 Er
0.000 0.500 0.500 Tm
0.000 0.000 0.000 Ho
0.500 0.000 0.500 Ho
0.500 0.500 0.000 Mg
```

Values from the calculation:
Raw total energy in eV/atom: -4.159
Formation enthalpy at 0 K in eV per atom: 0.03

No. 8
Ho2ErTm2Mg2 | PBE | optimized geometry

POSCAR file:
```
Ho2ErTm2Mg2
1.0
-3.338 2.713 -3.234
0.476 -0.445 -5.342
-5.983 -5.358 -2.797
Mg Tm Ho Er
2 2 2 1
Direct
0.711 0.711 0.866 Mg
0.289 0.289 0.134 Mg
0.154 0.154 0.538 Tm
0.846 0.846 0.462 Tm
0.573 0.573 0.280 Ho
0.427 0.427 0.720 Ho
0.000 0.000 0.000 Er
```

Values from the calculation:
Raw total energy in eV/atom: -3.708
Formation enthalpy at 0 K in eV per atom: -0.02

No. 9
Ho6Er3Tm2Mg | PBE | optimized geometry

POSCAR file:
```
Ho6Er3Tm2Mg
1.0
-0.722 4.584 3.901
-4.847 -2.899 -2.203
2.304 -7.882 8.104
Tm Ho Er Mg
2 6 3 1
Direct
0.666 0.334 0.000 Tm
0.334 0.666 0.000 Tm
0.082 0.416 0.248 Ho
0.918 0.584 0.752 Ho
0.748 0.748 0.249 Ho
0.252 0.252 0.751 Ho
0.584 0.918 0.752 Ho
0.416 0.082 0.248 Ho
0.500 0.500 0.500 Er
0.166 0.834 0.500 Er
0.834 0.166 0.500 Er
0.000 0.000 0.000 Mg
```

Values from the calculation:
Raw total energy in eV/atom: -4.275
Formation enthalpy at 0 K in eV per atom: 0.03

No. 10
Ho2Er3Tm6Mg | PBE | optimized geometry

POSCAR file:
```
Ho2Er3Tm6Mg
1.0
6.029 -0.001 0.003
-3.014 5.221 0.003
-1.018 -1.762 11.355
Tm Ho Er Mg
6 2 3 1
Direct
0.917 0.584 0.751 Tm
0.584 0.917 0.751 Tm
0.083 0.416 0.249 Tm
0.251 0.251 0.750 Tm
0.749 0.749 0.250 Tm
0.416 0.083 0.249 Tm
0.666 0.334 0.000 Ho
0.334 0.666 0.000 Ho
0.166 0.834 0.500 Er
0.834 0.166 0.500 Er
0.500 0.500 0.500 Er
0.000 0.000 0.000 Mg
```

Values from the calculation:
Raw total energy in eV/atom: -4.238
Formation enthalpy at 0 K in eV per atom: 0.03

Question: Which value of raw total energy does entry 6 give?
Answer: -2.978 eV/atom

Question: Among the records above, which one has the lowest raw total energy?
Answer: Ho6Er3Tm2Mg

Please write out number 8 again, unchanged.
Ho2ErTm2Mg2 | PBE | optimized geometry

POSCAR file:
```
Ho2ErTm2Mg2
1.0
-3.338 2.713 -3.234
0.476 -0.445 -5.342
-5.983 -5.358 -2.797
Mg Tm Ho Er
2 2 2 1
Direct
0.711 0.711 0.866 Mg
0.289 0.289 0.134 Mg
0.154 0.154 0.538 Tm
0.846 0.846 0.462 Tm
0.573 0.573 0.280 Ho
0.427 0.427 0.720 Ho
0.000 0.000 0.000 Er
```

Values from the calculation:
Raw total energy in eV/atom: -3.708
Formation enthalpy at 0 K in eV per atom: -0.02